# 1
A plane-wave DFT calculation with PBEsol was carried out for crystalline BaW4Se at its relaxed geometry.

The structure belongs to space group F-43m (No. 216); the cell edges are 7.8006, 7.8006 and 7.8006 Å and the angles 90.00°, 90.00° and 90.00°. The asymmetric unit holds Ba at (0.0000, 0.0000, 0.0000), W at (0.1241, 0.1241, 0.6241) and Se at (0.2500, 0.2500, 0.2500).

The formation energy (no corrections) comes out at 1176 meV/atom. Its size of the total moment is 0.000 μB/atom.

---

# 2
A plane-wave DFT calculation with PBEsol was carried out for crystalline K3Tl at its relaxed geometry.

The structure belongs to space group P4/mmm (No. 123); the cell edges are 4.3775, 4.3775 and 10.4236 Å and the angles 90.00°, 90.00° and 90.00°. The asymmetric unit holds K at (0.0000, 0.0000, 0.0000), K at (0.5000, 0.5000, 0.3109) and Tl at (0.0000, 0.0000, 0.5000).

Its size of the total moment is 0.000 μB/atom. The energy relative to the elements comes out at 11 meV per atom.

---

# 3
A plane-wave DFT calculation with PBEsol was carried out for crystalline K3InGa at its relaxed geometry.

The structure belongs to space group Pm-3m (No. 221); the cell edges are 6.3293, 6.3293 and 6.3293 Å and the angles 90.00°, 90.00° and 90.00°. The asymmetric unit holds K at (0.0000, 0.0000, 0.5000), In at (0.5000, 0.5000, 0.5000) and Ga at (0.0000, 0.0000, 0.0000).

Its size of the total moment is 0.000 μB/atom. The energy relative to the lowest polymorph listed for this composition is 0.0000 eV/atom. The energy relative to the elements comes out at 395 meV per atom.

---

# 4
A plane-wave DFT calculation with PBEsol was carried out for crystalline AgSbPb at its relaxed geometry.

The structure belongs to space group F-43m (No. 216); the cell edges are 6.8209, 6.8209 and 6.8209 Å and the angles 90.00°, 90.00° and 90.00°. The asymmetric unit holds Ag at (0.0000, 0.0000, 0.0000), Sb at (0.2500, 0.2500, 0.2500) and Pb at (0.2500, 0.2500, 0.7500).

The formation energy (no corrections) comes out at 36 meV/atom. Its size of the total moment is 0.000 μB/atom. The energy relative to the lowest polymorph listed for this composition is 0.0000 eV/atom.

---

# 5
A plane-wave DFT calculation with PBEsol was carried out for crystalline LaCu3S at its relaxed geometry.

The structure belongs to space group Pm-3m (No. 221); the cell edges are 4.4957, 4.4957 and 4.4957 Å and the angles 90.00°, 90.00° and 90.00°. The asymmetric unit holds La at (0.0000, 0.0000, 0.0000), Cu at (0.0000, 0.5000, 0.5000) and S at (0.5000, 0.5000, 0.5000).

The formation energy (no corrections) comes out at 110 meV/atom. Its size of the total moment is 0.000 μB/atom.

---

# 6
A plane-wave DFT calculation with PBEsol was carried out for crystalline ZnTc2Au at its relaxed geometry.

The structure belongs to space group P4/mmm (No. 123); the cell edges are 4.6745, 4.6745 and 2.6911 Å and the angles 90.00°, 90.00° and 90.00°. The asymmetric unit holds Zn at (0.0000, 0.0000, 0.0000), Tc at (0.0000, 0.5000, 0.5000) and Au at (0.5000, 0.5000, 0.0000).

Its size of the total moment is 0.000 μB/atom. The energy relative to the elements comes out at 441 meV per atom.

---

# 7
A plane-wave DFT calculation with PBEsol was carried out for crystalline SrSI2N at its relaxed geometry.

The structure belongs to space group P4/mmm (No. 123); the cell edges are 6.2927, 6.2927 and 4.9315 Å and the angles 90.00°, 90.00° and 90.00°. The asymmetric unit holds Sr at (0.0000, 0.0000, 0.0000), S at (0.5000, 0.5000, 0.5000), I at (0.0000, 0.5000, 0.0000) and N at (0.0000, 0.0000, 0.5000).

The formation energy (no corrections) comes out at 680 meV/atom. Its size of the total moment is 1.000 μB/atom.

---

# 8
A plane-wave DFT calculation with PBEsol was carried out for crystalline Sc5Zn at its relaxed geometry.

The structure belongs to space group P6/mmm (No. 191); the cell edges are 5.7192, 5.7192 and 5.1893 Å and the angles 90.00°, 90.00° and 120.00°. The asymmetric unit holds Sc at (0.0000, 0.5000, 0.0000), Sc at (0.3333, 0.6667, 0.5000) and Zn at (0.0000, 0.0000, 0.5000).

Its size of the total moment is 0.001 μB/atom. The energy relative to the lowest polymorph listed for this composition is 0.6316 eV/atom. The energy relative to the elements comes out at 539 meV per atom.